First-principles (PBE) data for a geometry-optimized Sr2CaInF structure, as listed in Alexandria.

Calculated values
formation energy without anion corrections: -1.2527 eV/atom

POSCAR file:
```
Sr2CaInF
1.0
5.2882 0.0000 0.0000
0.0000 5.2882 0.0000
0.0000 0.0000 5.1220
Sr Ca In F
2 1 1 1
Direct
0.0000 0.5000 0.0000 Sr
0.5000 0.0000 0.0000 Sr
0.0000 0.0000 0.5000 Ca
0.5000 0.5000 0.5000 In
0.0000 0.0000 0.0000 F
```